Model i:
VASP calculation (PBE) on VCoOs2 after structural relaxation.

Results
N(E_F) in states/eV/atom: 1.352

a b c (Å): 3.741 3.741 8.820
angles (deg): 77.76 77.76 90.00
Sites, in units of the cell vectors:
Co 0.750 0.250 0.500
Os 0.375 0.348 0.750
V 0.500 0.500 0.000
Os 0.652 0.125 0.250
V 0.250 0.750 0.500
Co 0.000 0.000 0.000
Os 0.875 0.902 0.750
Os 0.098 0.625 0.250

Model ii:
VASP calculation (PBE) on VCoOs2 after structural relaxation.

Results
N(E_F) in states/eV/atom: 1.631

a b c (Å): 4.219 4.219 4.219
angles (deg): 60.00 60.00 60.00
Site moments in Bohr magnetons follow the coordinates.
Sites, in units of the cell vectors:
V 0.000 0.000 0.000  -0.02
Os 0.250 0.250 0.250  0.21
Co 0.500 0.500 0.500  1.42
Os 0.750 0.750 0.750  0.21

Stability check: which of them is most stable? model ii.

Model i:
VASP calculation (PBE) on VCoOs2 after structural relaxation.

Results
N(E_F) in states/eV/atom: 1.303

a b c (Å): 4.311 2.635 4.784
angles (deg): 94.66 90.00 90.00
Site moments in Bohr magnetons follow the coordinates.
Sites, in units of the cell vectors:
V 0.500 0.750 0.250  -0.11
Co 0.500 0.250 0.750  1.34
Os 0.000 0.026 0.989  0.14
Os 0.000 0.474 0.511  0.14

Model ii:
VASP calculation (PBE) on VCoOs2 after structural relaxation.

Results
N(E_F) in states/eV/atom: 1.173

a b c (Å): 3.665 3.779 3.779
angles (deg): 90.00 90.00 90.00
Sites, in units of the cell vectors:
Os 0.000 0.500 0.000
V 0.500 0.500 0.500
Os 0.000 0.000 0.500
Co 0.500 0.000 0.000

Stability check: which of them is most stable? model ii.

Model i:
VASP calculation (PBE) on CoOsW2 after structural relaxation.

Results
N(E_F) in states/eV/atom: 1.077

a b c (Å): 4.676 4.676 2.774
angles (deg): 90.00 90.00 108.13
Sites, in units of the cell vectors:
Co 0.500 0.000 0.500
W 0.000 0.000 0.000
Os 0.000 0.500 0.500
W 0.500 0.500 0.000

Model ii:
VASP calculation (PBE) on CoOsW2 after structural relaxation.

Results
N(E_F) in states/eV/atom: 0.626

a b c (Å): 3.146 3.146 5.849
angles (deg): 90.00 90.00 90.00
Sites, in units of the cell vectors:
W 0.500 0.500 0.290
Co 0.000 0.000 0.474
Os 0.500 0.500 0.743
W 0.000 0.000 0.993

Model iii:
VASP calculation (PBE) on CoOsW2 after structural relaxation.

Results
N(E_F) in states/eV/atom: 0.908

a b c (Å): 4.688 4.688 4.688
angles (deg): 131.09 131.08 71.68
Sites, in units of the cell vectors:
W 0.500 0.500 0.000
Co 0.750 0.250 0.500
W 0.000 0.000 0.000
Os 0.250 0.750 0.500

Stability check: which of them is most stable? model iii.

Model i:
VASP calculation (PBE) on CoOsW2 after structural relaxation.

Results
N(E_F) in states/eV/atom: 0.953

a b c (Å): 4.752 4.752 4.753
angles (deg): 132.30 132.30 69.74
Sites, in units of the cell vectors:
W 0.750 0.250 0.500
Co 0.500 0.500 0.000
Os 0.250 0.750 0.500
W 0.000 0.000 0.000

Model ii:
VASP calculation (PBE) on CoOsW2 after structural relaxation.

Results
N(E_F) in states/eV/atom: 0.946

a b c (Å): 3.813 2.759 6.106
angles (deg): 63.36 90.00 90.00
Sites, in units of the cell vectors:
Co 0.500 0.250 0.250
Os 0.500 0.750 0.750
W 0.000 0.503 0.494
W 0.000 0.997 0.006

Stability check: which of them is most stable? model ii.